[1]
# SiPb2Au5

A relaxed structure of SiPb2Au5 (PBE, Alexandria). Values from VASP.

Results
The electronic total energy is -0.13370 hartree per atom. The calculation puts the uncorrected formation energy at 0.015 eV/atom.

Geometry as Quantum ESPRESSO input:
```
&SYSTEM
  ibrav = 0, nat = 8, ntyp = 3
/
ATOMIC_SPECIES
Si 28.09 Si.upf
Pb 207.20 Pb.upf
Au 196.97 Au.upf
ATOMIC_POSITIONS crystal
Si 0.000 0.000 0.000
Pb 0.370 0.869 0.499
Pb 0.869 0.370 0.499
Au 0.353 0.353 0.454
Au 0.353 0.899 0.999
Au 0.694 0.694 0.000
Au 0.899 0.353 0.999
Au 0.901 0.901 0.546
CELL_PARAMETERS angstrom
3.899 -4.926 0.000
3.899 4.926 0.000
-3.894 0.000 4.926
```

[2]
# SiPbAu6

A relaxed structure of SiPbAu6 (PBE, Alexandria). Values from VASP.

Results
The electronic total energy is -0.13051 hartree per atom. The calculation puts the uncorrected formation energy at 0.048 eV/atom.

Geometry as Quantum ESPRESSO input:
```
&SYSTEM
  ibrav = 0, nat = 8, ntyp = 3
/
ATOMIC_SPECIES
Si 28.09 Si.upf
Pb 207.20 Pb.upf
Au 196.97 Au.upf
ATOMIC_POSITIONS crystal
Si 0.000 0.000 0.000
Pb 0.500 0.500 0.500
Au 0.048 0.215 0.533
Au 0.215 0.533 0.048
Au 0.467 0.952 0.785
Au 0.533 0.048 0.215
Au 0.785 0.467 0.952
Au 0.952 0.785 0.467
CELL_PARAMETERS angstrom
3.373 1.948 4.138
-3.373 1.948 4.138
0.000 -3.895 4.138
```

[3]
# SiPb3Au3

A relaxed structure of SiPb3Au3 (PBE, Alexandria). Values from VASP.

Results
The electronic total energy is -0.13926 hartree per atom. The calculation puts the uncorrected formation energy at -0.021 eV/atom.

Geometry as Quantum ESPRESSO input:
```
&SYSTEM
  ibrav = 0, nat = 14, ntyp = 3
/
ATOMIC_SPECIES
Si 28.09 Si.upf
Pb 207.20 Pb.upf
Au 196.97 Au.upf
ATOMIC_POSITIONS crystal
Si 0.157 0.157 0.465
Si 0.843 0.843 0.535
Pb 0.183 0.183 0.904
Pb 0.251 0.749 0.500
Pb 0.290 0.710 0.000
Pb 0.710 0.290 0.000
Pb 0.749 0.251 0.500
Pb 0.817 0.817 0.096
Au 0.074 0.340 0.243
Au 0.340 0.074 0.243
Au 0.452 0.452 0.677
Au 0.548 0.548 0.323
Au 0.660 0.926 0.757
Au 0.926 0.660 0.757
CELL_PARAMETERS angstrom
3.602 -6.278 0.000
3.602 6.278 0.000
-1.510 0.000 7.657
```

[4]
# SiPbAu2

A relaxed structure of SiPbAu2 (PBE, Alexandria). Values from VASP.

Results
The electronic total energy is -0.13457 hartree per atom. The calculation puts the uncorrected formation energy at 0.260 eV/atom.

Geometry as Quantum ESPRESSO input:
```
&SYSTEM
  ibrav = 0, nat = 4, ntyp = 3
/
ATOMIC_SPECIES
Si 28.09 Si.upf
Pb 207.20 Pb.upf
Au 196.97 Au.upf
ATOMIC_POSITIONS crystal
Si 0.000 0.000 0.000
Pb 0.500 0.500 0.000
Au 0.000 0.500 0.500
Au 0.500 0.000 0.500
CELL_PARAMETERS angstrom
2.850 -3.643 0.000
2.850 3.643 0.000
-2.836 0.000 4.276
```

[5]
# SmSi2Pb2Au7

A relaxed structure of SmSi2Pb2Au7 (PBE, Alexandria). Values from VASP.

Results
The electronic total energy is -0.14915 hartree per atom. The calculation puts the uncorrected formation energy at -0.232 eV/atom.

Geometry as Quantum ESPRESSO input:
```
&SYSTEM
  ibrav = 0, nat = 12, ntyp = 4
/
ATOMIC_SPECIES
Sm 150.36 Sm.upf
Si 28.09 Si.upf
Pb 207.20 Pb.upf
Au 196.97 Au.upf
ATOMIC_POSITIONS crystal
Sm 0.000 0.000 0.000
Si 0.314 0.314 0.785
Si 0.686 0.686 0.215
Pb 0.120 0.120 0.381
Pb 0.880 0.880 0.619
Au 0.143 0.557 0.176
Au 0.417 0.417 0.598
Au 0.443 0.857 0.824
Au 0.500 0.500 0.000
Au 0.557 0.143 0.176
Au 0.583 0.583 0.402
Au 0.857 0.443 0.824
CELL_PARAMETERS angstrom
3.354 -3.451 0.000
3.354 3.451 0.000
-2.099 0.000 11.667
```

[6]
# SiSnPb2Au6

A relaxed structure of SiSnPb2Au6 (PBE, Alexandria). Values from VASP.

Results
The electronic total energy is -0.13596 hartree per atom. The calculation puts the uncorrected formation energy at -0.049 eV/atom.

Geometry as Quantum ESPRESSO input:
```
&SYSTEM
  ibrav = 0, nat = 20, ntyp = 4
/
ATOMIC_SPECIES
Si 28.09 Si.upf
Sn 118.71 Sn.upf
Pb 207.20 Pb.upf
Au 196.97 Au.upf
ATOMIC_POSITIONS crystal
Si 0.250 0.250 0.237
Si 0.750 0.750 0.763
Sn 0.250 0.750 0.283
Sn 0.750 0.250 0.717
Pb 0.250 0.010 0.721
Pb 0.250 0.490 0.721
Pb 0.750 0.510 0.279
Pb 0.750 0.990 0.279
Au 0.003 0.250 0.459
Au 0.005 0.750 0.999
Au 0.250 0.003 0.113
Au 0.250 0.497 0.113
Au 0.495 0.750 0.999
Au 0.497 0.250 0.459
Au 0.503 0.750 0.541
Au 0.505 0.250 0.001
Au 0.750 0.503 0.887
Au 0.750 0.997 0.887
Au 0.995 0.250 0.001
Au 0.997 0.750 0.541
CELL_PARAMETERS angstrom
5.742 0.000 0.000
0.000 9.066 0.000
0.000 0.000 8.973
```

[7]
# SrSi2PbAu5

A relaxed structure of SrSi2PbAu5 (PBE, Alexandria). Values from VASP.

Results
The electronic total energy is -0.14284 hartree per atom. The calculation puts the uncorrected formation energy at -0.262 eV/atom.

Geometry as Quantum ESPRESSO input:
```
&SYSTEM
  ibrav = 0, nat = 9, ntyp = 4
/
ATOMIC_SPECIES
Sr 87.62 Sr.upf
Si 28.09 Si.upf
Pb 207.20 Pb.upf
Au 196.97 Au.upf
ATOMIC_POSITIONS crystal
Sr 0.000 0.000 0.000
Si 0.500 0.500 0.236
Si 0.500 0.500 0.764
Pb 0.000 0.000 0.500
Au 0.000 0.500 0.304
Au 0.000 0.500 0.696
Au 0.500 0.000 0.304
Au 0.500 0.000 0.696
Au 0.500 0.500 0.000
CELL_PARAMETERS angstrom
4.678 0.000 0.000
0.000 4.678 0.000
0.000 0.000 10.082
```

[8]
# SrSi2Pb2Au7

A relaxed structure of SrSi2Pb2Au7 (PBE, Alexandria). Values from VASP.

Results
The electronic total energy is -0.13998 hartree per atom. The calculation puts the uncorrected formation energy at -0.235 eV/atom.

Geometry as Quantum ESPRESSO input:
```
&SYSTEM
  ibrav = 0, nat = 12, ntyp = 4
/
ATOMIC_SPECIES
Sr 87.62 Sr.upf
Si 28.09 Si.upf
Pb 207.20 Pb.upf
Au 196.97 Au.upf
ATOMIC_POSITIONS crystal
Sr 0.000 0.000 0.000
Si 0.311 0.311 0.793
Si 0.689 0.689 0.207
Pb 0.128 0.128 0.384
Pb 0.872 0.872 0.616
Au 0.160 0.572 0.193
Au 0.413 0.413 0.599
Au 0.428 0.840 0.807
Au 0.500 0.500 0.000
Au 0.572 0.160 0.193
Au 0.587 0.587 0.401
Au 0.840 0.428 0.807
CELL_PARAMETERS angstrom
3.466 -3.467 0.000
3.466 3.467 0.000
-1.885 0.000 11.537
```